Computed, not measured: TlSb4Se2 after structural relaxation at the PBE level of DFT.

Results
- space-group type = I4/mmm, No. 139

Geometry as POSCAR:
```
TlSb4Se2
1.0
5.6093 0.0000 0.0000
0.0000 5.6093 0.0000
2.8047 2.8047 7.9011
Sb Tl Se
4 1 2
Direct
0.7574 0.7574 0.4852
0.2426 0.2426 0.5148
0.0000 0.5000 0.0000
0.5000 0.0000 0.0000
0.0000 0.0000 0.0000
0.5952 0.5952 0.8095
0.4048 0.4048 0.1905
```


Computed, not measured: Tl12Sb6Se after structural relaxation at the PBE level of DFT.

Results
- space-group type = R-3, No. 148

Geometry as POSCAR:
```
Tl12Sb6Se
1.0
-4.4521 0.6429 -7.3032
2.5443 -8.1534 -0.7865
-6.5671 -1.2402 5.3764
Tl Sb Se
12 6 1
Direct
0.3507 0.0793 0.3439
0.0793 0.3439 0.3507
0.3439 0.3507 0.0793
0.6493 0.9207 0.6561
0.9207 0.6561 0.6493
0.6561 0.6493 0.9207
0.1244 0.0803 0.6719
0.3281 0.8756 0.9197
0.9197 0.3281 0.8756
0.8756 0.9197 0.3281
0.6719 0.1244 0.0803
0.0803 0.6719 0.1244
0.2666 0.4909 0.7300
0.5091 0.2700 0.7334
0.2700 0.7334 0.5091
0.7334 0.5091 0.2700
0.4909 0.7300 0.2666
0.7300 0.2666 0.4909
0.0000 0.0000 0.0000
```


Computed, not measured: Tl5SbSe4 after structural relaxation at the PBE level of DFT.

Results
- space-group type = C2/m, No. 12

Geometry as POSCAR:
```
Tl5SbSe4
1.0
4.3143 0.0000 0.0000
0.0000 8.4842 -1.0111
-2.1571 -2.2845 9.2126
Tl Sb Se
5 1 4
Direct
0.8081 0.6853 0.6162
0.8435 0.2060 0.6870
0.1565 0.7940 0.3130
0.5000 0.5000 0.0000
0.1919 0.3147 0.3838
0.5000 0.0000 0.0000
0.3413 0.9573 0.6827
0.9744 0.7541 0.9488
0.6587 0.0427 0.3173
0.0256 0.2459 0.0512
```


Computed, not measured: Tl3SbSe3 after structural relaxation at the PBE level of DFT.

Results
- space-group type = P2_1/m, No. 11

Geometry as POSCAR:
```
Tl3SbSe3
1.0
4.2647 0.0000 0.0000
0.0000 8.8475 0.0897
0.0000 0.7516 12.2487
Tl Sb Se
6 2 6
Direct
0.2500 0.3901 0.3588
0.7500 0.6099 0.6412
0.2500 0.8493 0.8814
0.7500 0.1507 0.1186
0.2500 0.3419 0.8582
0.7500 0.6581 0.1418
0.2500 0.8884 0.3822
0.7500 0.1116 0.6178
0.2500 0.3360 0.6089
0.7500 0.6640 0.3911
0.2500 0.8861 0.6193
0.7500 0.1139 0.3807
0.2500 0.9036 0.1463
0.7500 0.0964 0.8537
```


no.,ΔE_f (raw) (meV per atom)
1,464
2,-5
3,-349
4,-364